1.
# CuRh3, relaxed, DFT PBEsol
# E_form in eV per atom: 0.09
# Electronic total energy in Ha/atom: -0.2609
# V in Å³/f.u.: 52.3
data_CuRh3
_cell_length_a 4.3193
_cell_length_b 4.5683
_cell_length_c 5.2999
_cell_angle_alpha 90.00
_cell_angle_beta 90.00
_cell_angle_gamma 90.00
_space_group_name_H-M_alt 'P 1'
_space_group_IT_number 1
loop_
_space_group_symop_operation_xyz
'x,y,z'
loop_
_atom_site_label
_atom_site_type_symbol
_atom_site_fract_x
_atom_site_fract_y
_atom_site_fract_z
_atom_site_occupancy
Cu1 Cu 0.0000 0.6682 0.0000 1
Cu2 Cu 0.5000 0.3318 0.5000 1
Rh1 Rh 0.5000 0.3415 0.0000 1
Rh2 Rh 0.0000 0.1651 0.7459 1
Rh3 Rh 0.5000 0.8349 0.7541 1
Rh4 Rh 0.0000 0.6585 0.5000 1
Rh5 Rh 0.0000 0.1651 0.2541 1
Rh6 Rh 0.5000 0.8349 0.2459 1

2.
# AlCuCl4, relaxed, DFT PBEsol
# Electronic total energy in Ha/atom: -0.1425
# ΔE_f (raw) in eV/atom: -1.135
# V in Å³/f.u.: 145.4
data_AlCuCl4
_cell_length_a 6.0485
_cell_length_b 7.6626
_cell_length_c 12.5526
_cell_angle_alpha 90.00
_cell_angle_beta 90.00
_cell_angle_gamma 90.00
_space_group_name_H-M_alt 'P 1'
_space_group_IT_number 1
loop_
_space_group_symop_operation_xyz
'x,y,z'
loop_
_atom_site_label
_atom_site_type_symbol
_atom_site_fract_x
_atom_site_fract_y
_atom_site_fract_z
_atom_site_occupancy
Al1 Al 0.4433 0.2390 0.4121 1
Al2 Al 0.9433 0.7610 0.5879 1
Al3 Al 0.4433 0.2610 0.9121 1
Al4 Al 0.9433 0.7390 0.0879 1
Cl1 Cl 0.0866 0.2411 0.4079 1
Cl2 Cl 0.5866 0.7589 0.5921 1
Cl3 Cl 0.0866 0.2589 0.9079 1
Cl4 Cl 0.5866 0.7411 0.0921 1
Cl5 Cl 0.0598 0.7458 0.4257 1
Cl6 Cl 0.5598 0.2542 0.5743 1
Cl7 Cl 0.0598 0.7542 0.9257 1
Cl8 Cl 0.5598 0.2458 0.0743 1
Cl9 Cl 0.5624 0.0048 0.3362 1
Cl10 Cl 0.0624 0.9952 0.6638 1
Cl11 Cl 0.5624 0.4952 0.8362 1
Cl12 Cl 0.0624 0.5048 0.1638 1
Cl13 Cl 0.0662 0.9695 0.1667 1
Cl14 Cl 0.5662 0.0305 0.8333 1
Cl15 Cl 0.0662 0.5305 0.6667 1
Cl16 Cl 0.5662 0.4695 0.3333 1
Cu1 Cu 0.9395 0.9897 0.3393 1
Cu2 Cu 0.4395 0.0103 0.6607 1
Cu3 Cu 0.9395 0.5103 0.8393 1
Cu4 Cu 0.4395 0.4897 0.1607 1

3.
# ReS2NCl, relaxed, DFT PBEsol
# Electronic total energy in Ha/atom: -0.2271
# ΔE_f (raw) in eV/atom: 0.347
# V in Å³/f.u.: 82.1
data_ReS2NCl
_cell_length_a 3.7585
_cell_length_b 4.6734
_cell_length_c 4.6734
_cell_angle_alpha 90.00
_cell_angle_beta 90.00
_cell_angle_gamma 90.00
_space_group_name_H-M_alt 'P 1'
_space_group_IT_number 1
loop_
_space_group_symop_operation_xyz
'x,y,z'
loop_
_atom_site_label
_atom_site_type_symbol
_atom_site_fract_x
_atom_site_fract_y
_atom_site_fract_z
_atom_site_occupancy
Re1 Re 0.0000 0.0000 0.0000 1
S1 S 0.0000 0.0000 0.5000 1
S2 S 0.0000 0.5000 0.0000 1
N1 N 0.5000 0.0000 0.0000 1
Cl1 Cl 0.5000 0.5000 0.5000 1